Record 1
VASP calculation (PBE-GGA) on a relaxed Cs3Na4Hg4 crystal.

a b c (Å): 8.561 8.561 8.561
angles (deg): 109.47 109.47 109.47
Fractional coordinates of all 11 atoms:
Cs 0.000 0.500 0.500
Cs 0.500 0.000 0.500
Cs 0.500 0.500 0.000
Na 0.000 0.000 0.739
Na 0.000 0.739 0.000
Na 0.261 0.261 0.261
Na 0.739 0.000 0.000
Hg 0.000 0.000 0.373
Hg 0.000 0.373 0.000
Hg 0.373 0.000 0.000
Hg 0.627 0.627 0.627

**Energy above the most stable polymorph in this dataset**: 0.184 eV/f.u.
**ΔH_f (0 K)**: -161.1 kJ/mol of formula units

Record 2
VASP calculation (PBE-GGA) on a relaxed La2TbCe3N6 crystal.

a b c (Å): 6.262 6.262 6.242
angles (deg): 99.61 99.61 120.01
Fractional coordinates of all 12 atoms:
La 0.167 0.833 0.000
La 0.833 0.167 0.000
Tb 0.500 0.500 0.000
Ce 0.000 0.000 0.500
Ce 0.335 0.665 0.500
Ce 0.665 0.335 0.500
N 0.092 0.412 0.735
N 0.269 0.269 0.266
N 0.412 0.092 0.735
N 0.588 0.908 0.265
N 0.731 0.731 0.734
N 0.908 0.588 0.265

**Raw formation energy**: -1.47 eV per atom

Record 3
VASP calculation (PBE-GGA) on a relaxed TbPmSi crystal.

a b c (Å): 4.687 4.687 4.229
angles (deg): 90.00 90.00 120.00
Fractional coordinates of all 3 atoms:
Tb 0.000 0.000 0.000
Pm 0.333 0.667 0.535
Si 0.667 0.333 0.194

**Energy above the most stable polymorph in this dataset**: 0.619 eV/f.u.
**Raw formation energy**: -0.30 eV per atom